The following is a PBE calculation of an optimized crystal structure of TcTeW2, from Alexandria via LeMat-Bulk.

a = 9.4123 Å, b = 3.1396 Å, c = 4.8256 Å
α = 90.00°, β = 106.63°, γ = 90.00°
With the nearest neighbours (Å) after each atom.
Space group Cm (No. 8)
One atom of each set of equivalent atoms:
Tc: 0.0000 0.0000 0.0000 [2 per cell]  5 W 2.60-2.81, 2 Te 2.91
Te: 0.2484 0.0000 0.6649 [2 per cell]  7 W 2.74-2.96, 2 Tc 2.91
W: 0.2304 0.5000 0.1371 [2 per cell]  3 Tc 2.60-2.80, 2 Te 2.81
W: 0.4982 0.0000 0.4808 [2 per cell]  3 Te 2.74-2.76, 4 Tc 2.81-2.95, 2 W 3.03

Calculated values
* E_tot: -0.342 Ha/atom
* calculated volume: 17.08 Å³ per atom
* magnetic moment: 0.00 μB/f.u.

=====

The following is a PBE calculation of an optimized crystal structure of TcTeW2, from Alexandria via LeMat-Bulk.

a = 3.9837 Å, b = 3.9837 Å, c = 8.4604 Å
α = 90.00°, β = 90.00°, γ = 90.00°
With the nearest neighbours (Å) after each atom.
Space group I-4m2 (No. 119)
One atom of each set of equivalent atoms:
Tc: 0.0000 0.0000 0.0000 [2 per cell]  8 W 2.82-2.91, 4 Te 2.91
Te: 0.0000 0.5000 0.7500 [2 per cell]  8 W 2.82-2.91, 4 Tc 2.91
W: 0.0000 0.0000 0.5000 [2 per cell]  4 Tc 2.82, 4 W 2.91, 4 Te 2.91
W: 0.0000 0.5000 0.2500 [2 per cell]  4 Te 2.82, 4 W 2.91, 4 Tc 2.91

Calculated values
* E_tot: -0.336 Ha/atom
* calculated volume: 16.78 Å³ per atom
* magnetic moment: 0.00 μB/f.u.

=====

The following is a PBE calculation of an optimized crystal structure of TcTeW2, from Alexandria via LeMat-Bulk.

a = 3.0659 Å, b = 4.1909 Å, c = 5.3920 Å
α = 90.00°, β = 90.10°, γ = 90.00°
With the nearest neighbours (Å) after each atom.
Space group Pm (No. 6)
One atom of each set of equivalent atoms:
Tc: 0.0000 0.0000 0.0000 [1 per cell]  1 W 2.47
Te: 0.5016 0.5000 0.2566 [1 per cell]  2 W 2.68-2.72, 4 Tc 2.94
W: 0.0010 0.0000 0.5424 [1 per cell]  1 Tc 2.47
W: 0.5007 0.5000 0.7604 [1 per cell]  2 Te 2.68-2.72, 4 W 2.85, 4 Tc 2.90

Calculated values
* E_tot: -0.341 Ha/atom
* calculated volume: 17.32 Å³ per atom
* magnetic moment: 0.00 μB/f.u.

=====

Calculated uncorrected formation energy (eV/atom), listed in the same order as above: 0.56 0.72 0.57
Calculated density of states at the Fermi level (states/eV per atom), listed in the same order as above: 0.78 1.20 0.83
Calculated energy relative to the lowest polymorph listed for this composition (kJ/mol of formula units), listed in the same order as above: 72 135 74